Computed, not measured: InHg2As after structural relaxation at the GGA-PBEsol level of DFT.

```
data_InHg2As
_symmetry_space_group_name_H-M 'P 4/m m m'
_symmetry_Int_Tables_number 123
_symmetry_space_group_name_Hall '-P 4 2'
_cell_length_a 4.087
_cell_length_b 4.087
_cell_length_c 5.499
_cell_angle_alpha 90.00
_cell_angle_beta 90.00
_cell_angle_gamma 90.00
loop_
_atom_site_label
_atom_site_type_symbol
_atom_site_fract_x
_atom_site_fract_y
_atom_site_fract_z
In1 In 0.000 0.000 0.000
Hg1 Hg 0.000 0.500 0.500
As1 As 0.500 0.500 0.000
```

- calculated volume (Å³/cell) = 92
- total energy (eV per atom) = -2.2016
- size of the total moment (μB per formula unit) = 0.000
- ΔE_f (eV/atom) = 0.104
- DOS at the Fermi energy (states/eV/cell) = 1.779



Computed, not measured: In2HgAs after structural relaxation at the GGA-PBEsol level of DFT.

```
data_In2HgAs
_symmetry_space_group_name_H-M 'R -3 m'
_symmetry_Int_Tables_number 166
_symmetry_space_group_name_Hall '-R 3 2"'
_cell_length_a 4.0380
_cell_length_b 4.0380
_cell_length_c 20.7985
_cell_angle_alpha 90.00
_cell_angle_beta 90.00
_cell_angle_gamma 120.00
loop_
_atom_site_label
_atom_site_type_symbol
_atom_site_fract_x
_atom_site_fract_y
_atom_site_fract_z
In1 In 0.0000 0.0000 0.2415
Hg1 Hg 0.0000 0.0000 0.0000
As1 As 0.0000 0.0000 0.5000
```

- relative energy among the computed polymorphs (meV per atom) = 0
- calculated volume (Å³/cell) = 294
- total energy (eV per atom) = -2.9747
- size of the total moment (μB per formula unit) = 0.000
- ΔE_f (eV/atom) = -0.065
- DOS at the Fermi energy (states/eV/cell) = 4.497